The following is a GGA-PBE calculation of an optimized crystal structure of BaTiH2Rh, from Alexandria.

It has space group P4/mmm (No. 123), with a = 4.0221 Å, b = 4.0221 Å, c = 6.8242 Å, α = 90.00°, β = 90.00° and γ = 90.00°. The asymmetric unit holds Ba at (0.0000, 0.0000, 0.0000), Ti at (0.0000, 0.0000, 0.5000), H at (0.0000, 0.5000, 0.0000) and Rh at (0.5000, 0.5000, 0.5000).

The final energy is -3.745 eV per atom.



The following is a GGA-PBE calculation of an optimized crystal structure of Ba6Tl2HRh, from Alexandria.

It has space group Pmmn (No. 59, origin choice 2), with a = 8.3064 Å, b = 11.7178 Å, c = 8.3064 Å, α = 90.00°, β = 90.00° and γ = 90.00°. The asymmetric unit holds Ba at (0.0033, 0.2500, 0.0028), Ba at (0.0030, 0.2500, 0.4963), Ba at (0.2500, 0.0036, 0.2501), Tl at (0.2500, 0.0000, 0.7502), H at (0.2500, 0.2500, 0.2497) and Rh at (0.2500, 0.7500, 0.2504).

The final energy is -2.942 eV per atom.



The following is a GGA-PBE calculation of an optimized crystal structure of Ba2TlHRh, from Alexandria.

It has space group P4/mmm (No. 123), with a = 5.9264 Å, b = 5.9264 Å, c = 3.7721 Å, α = 90.00°, β = 90.00° and γ = 90.00°. The asymmetric unit holds Ba at (0.0000, 0.5000, 0.0000), Tl at (0.0000, 0.0000, 0.5000), H at (0.5000, 0.5000, 0.0000) and Rh at (0.5000, 0.5000, 0.5000).

The final energy is -3.632 eV per atom. The energy above the most stable polymorph in this dataset is 98 meV per atom.